(1)
HfAl2Cl | SCAN | single point on PBEsol structure

Structure (CIF):
```
data_HfAl2Cl
_chemical_formula_sum 'Hf1 Al2 Cl1'
_symmetry_space_group_name_H-M 'P 1'
_symmetry_Int_Tables_number 1
_cell_length_a 4.819
_cell_length_b 4.819
_cell_length_c 4.819
_cell_angle_alpha 60.00
_cell_angle_beta 60.00
_cell_angle_gamma 60.00
loop_
_symmetry_equiv_pos_as_xyz
'x,y,z'
loop_
_atom_site_label
_atom_site_type_symbol
_atom_site_fract_x
_atom_site_fract_y
_atom_site_fract_z
Hf1 Hf 0.000 0.000 0.000
Al1 Al 0.250 0.250 0.250
Al2 Al 0.750 0.750 0.750
Cl1 Cl 0.500 0.500 0.500
```

---

(2)
YCd2Au | SCAN | single point on PBEsol structure

Structure (CIF):
```
data_YCd2Au
_chemical_formula_sum 'Y1 Cd2 Au1'
_symmetry_space_group_name_H-M 'P 1'
_symmetry_Int_Tables_number 1
_cell_length_a 4.236
_cell_length_b 4.236
_cell_length_c 4.792
_cell_angle_alpha 90.00
_cell_angle_beta 90.00
_cell_angle_gamma 90.00
loop_
_symmetry_equiv_pos_as_xyz
'x,y,z'
loop_
_atom_site_label
_atom_site_type_symbol
_atom_site_fract_x
_atom_site_fract_y
_atom_site_fract_z
Y1 Y 0.000 0.000 0.000
Cd1 Cd 0.000 0.500 0.500
Cd2 Cd 0.500 0.000 0.500
Au1 Au 0.500 0.500 0.000
```

---

(3)
Sr2YCu2NiO7 | SCAN | single point on PBEsol structure

Structure (CIF):
```
data_Sr2YCu2NiO7
_chemical_formula_sum 'Sr4 Y2 Cu4 Ni2 O14'
_symmetry_space_group_name_H-M 'P 1'
_symmetry_Int_Tables_number 1
_cell_length_a 11.912
_cell_length_b 11.912
_cell_length_c 11.912
_cell_angle_alpha 37.24
_cell_angle_beta 153.77
_cell_angle_gamma 154.05
loop_
_symmetry_equiv_pos_as_xyz
'x,y,z'
loop_
_atom_site_label
_atom_site_type_symbol
_atom_site_fract_x
_atom_site_fract_y
_atom_site_fract_z
Sr1 Sr 0.009 0.151 0.160
Sr2 Sr 0.009 0.349 0.358
Sr3 Sr 0.991 0.651 0.642
Sr4 Sr 0.991 0.849 0.840
Y1 Y 0.001 0.001 0.000
Y2 Y 0.001 0.501 0.500
Cu1 Cu 0.501 0.075 0.573
Cu2 Cu 0.501 0.428 0.927
Cu3 Cu 0.501 0.575 0.073
Cu4 Cu 0.501 0.928 0.427
Ni1 Ni 0.389 0.708 0.181
Ni2 Ni 0.527 0.208 0.819
O1 O 0.002 0.187 0.690
O2 O 0.002 0.317 0.814
O3 O 0.002 0.688 0.184
O4 O 0.002 0.812 0.315
O5 O 0.229 0.860 0.869
O6 O 0.487 0.193 0.642
O7 O 0.487 0.346 0.795
O8 O 0.497 0.312 0.310
O9 O 0.497 0.687 0.685
O10 O 0.504 0.188 0.186
O11 O 0.504 0.817 0.816
O12 O 0.551 0.693 0.205
O13 O 0.551 0.846 0.358
O14 O 0.991 0.360 0.131
```

---

(4)
NaHOs3 | SCAN | single point on PBEsol structure

Structure (CIF):
```
data_NaHOs3
_chemical_formula_sum 'Na1 H1 Os3'
_symmetry_space_group_name_H-M 'P 1'
_symmetry_Int_Tables_number 1
_cell_length_a 3.930
_cell_length_b 3.930
_cell_length_c 3.930
_cell_angle_alpha 90.00
_cell_angle_beta 90.00
_cell_angle_gamma 90.00
loop_
_symmetry_equiv_pos_as_xyz
'x,y,z'
loop_
_atom_site_label
_atom_site_type_symbol
_atom_site_fract_x
_atom_site_fract_y
_atom_site_fract_z
Na1 Na 0.000 0.000 0.000
H1 H 0.500 0.500 0.500
Os1 Os 0.000 0.500 0.500
Os2 Os 0.500 0.000 0.500
Os3 Os 0.500 0.500 0.000
```

---

(5)
CaTcAs2 | SCAN | single point on PBEsol structure

Structure (CIF):
```
data_CaTcAs2
_chemical_formula_sum 'Ca1 Tc1 As2'
_symmetry_space_group_name_H-M 'P 1'
_symmetry_Int_Tables_number 1
_cell_length_a 4.565
_cell_length_b 4.565
_cell_length_c 4.565
_cell_angle_alpha 60.00
_cell_angle_beta 60.00
_cell_angle_gamma 60.00
loop_
_symmetry_equiv_pos_as_xyz
'x,y,z'
loop_
_atom_site_label
_atom_site_type_symbol
_atom_site_fract_x
_atom_site_fract_y
_atom_site_fract_z
Ca1 Ca 0.000 0.000 0.000
Tc1 Tc 0.500 0.500 0.500
As1 As 0.250 0.250 0.250
As2 As 0.750 0.750 0.750
```

---

(6)
KRe2Rh | SCAN | single point on PBEsol structure

Structure (CIF):
```
data_KRe2Rh
_chemical_formula_sum 'K1 Re2 Rh1'
_symmetry_space_group_name_H-M 'P 1'
_symmetry_Int_Tables_number 1
_cell_length_a 2.670
_cell_length_b 3.848
_cell_length_c 7.820
_cell_angle_alpha 90.00
_cell_angle_beta 90.00
_cell_angle_gamma 90.00
loop_
_symmetry_equiv_pos_as_xyz
'x,y,z'
loop_
_atom_site_label
_atom_site_type_symbol
_atom_site_fract_x
_atom_site_fract_y
_atom_site_fract_z
K1 K 0.000 0.000 0.000
Re1 Re 0.000 0.000 0.511
Re2 Re 0.500 0.500 0.355
Rh1 Rh 0.500 0.500 0.680
```

---

(7)
Tc2AgHg | SCAN | single point on PBEsol structure

Structure (CIF):
```
data_Tc2AgHg
_chemical_formula_sum 'Tc2 Ag1 Hg1'
_symmetry_space_group_name_H-M 'P 1'
_symmetry_Int_Tables_number 1
_cell_length_a 9.589
_cell_length_b 9.589
_cell_length_c 9.589
_cell_angle_alpha 16.67
_cell_angle_beta 16.67
_cell_angle_gamma 16.67
loop_
_symmetry_equiv_pos_as_xyz
'x,y,z'
loop_
_atom_site_label
_atom_site_type_symbol
_atom_site_fract_x
_atom_site_fract_y
_atom_site_fract_z
Tc1 Tc 0.248 0.248 0.248
Tc2 Tc 0.752 0.752 0.752
Ag1 Ag 0.500 0.500 0.500
Hg1 Hg 0.000 0.000 0.000
```

---

(8)
K3InGe | SCAN | single point on PBEsol structure

Structure (CIF):
```
data_K3InGe
_chemical_formula_sum 'K3 In1 Ge1'
_symmetry_space_group_name_H-M 'P 1'
_symmetry_Int_Tables_number 1
_cell_length_a 6.365
_cell_length_b 6.365
_cell_length_c 6.365
_cell_angle_alpha 90.00
_cell_angle_beta 90.00
_cell_angle_gamma 90.00
loop_
_symmetry_equiv_pos_as_xyz
'x,y,z'
loop_
_atom_site_label
_atom_site_type_symbol
_atom_site_fract_x
_atom_site_fract_y
_atom_site_fract_z
K1 K 0.000 0.000 0.500
K2 K 0.000 0.500 0.000
K3 K 0.500 0.000 0.000
In1 In 0.500 0.500 0.500
Ge1 Ge 0.000 0.000 0.000
```

---

(9)
FeRhSe2 | SCAN | single point on PBEsol structure

Structure (CIF):
```
data_FeRhSe2
_chemical_formula_sum 'Fe1 Rh1 Se2'
_symmetry_space_group_name_H-M 'P 1'
_symmetry_Int_Tables_number 1
_cell_length_a 7.913
_cell_length_b 7.913
_cell_length_c 7.913
_cell_angle_alpha 22.65
_cell_angle_beta 22.65
_cell_angle_gamma 22.65
loop_
_symmetry_equiv_pos_as_xyz
'x,y,z'
loop_
_atom_site_label
_atom_site_type_symbol
_atom_site_fract_x
_atom_site_fract_y
_atom_site_fract_z
Fe1 Fe 0.000 0.000 0.000
Rh1 Rh 0.500 0.500 0.500
Se1 Se 0.399 0.399 0.399
Se2 Se 0.601 0.601 0.601
```

---

(10)
ScAs2PdSe | SCAN | single point on PBEsol structure

Structure (CIF):
```
data_ScAs2PdSe
_chemical_formula_sum 'Sc1 As2 Pd1 Se1'
_symmetry_space_group_name_H-M 'P 1'
_symmetry_Int_Tables_number 1
_cell_length_a 4.974
_cell_length_b 4.974
_cell_length_c 4.906
_cell_angle_alpha 90.00
_cell_angle_beta 90.00
_cell_angle_gamma 90.00
loop_
_symmetry_equiv_pos_as_xyz
'x,y,z'
loop_
_atom_site_label
_atom_site_type_symbol
_atom_site_fract_x
_atom_site_fract_y
_atom_site_fract_z
Sc1 Sc 0.000 0.000 0.000
As1 As 0.000 0.500 0.000
As2 As 0.500 0.000 0.000
Pd1 Pd 0.500 0.500 0.500
Se1 Se 0.000 0.000 0.500
```

---

(11)
MgN2Cl | SCAN | single point on PBEsol structure

Structure (CIF):
```
data_MgN2Cl
_chemical_formula_sum 'Mg1 N2 Cl1'
_symmetry_space_group_name_H-M 'P 1'
_symmetry_Int_Tables_number 1
_cell_length_a 5.920
_cell_length_b 5.920
_cell_length_c 5.920
_cell_angle_alpha 31.70
_cell_angle_beta 31.70
_cell_angle_gamma 31.70
loop_
_symmetry_equiv_pos_as_xyz
'x,y,z'
loop_
_atom_site_label
_atom_site_type_symbol
_atom_site_fract_x
_atom_site_fract_y
_atom_site_fract_z
Mg1 Mg 0.000 0.000 0.000
N1 N 0.398 0.398 0.398
N2 N 0.602 0.602 0.602
Cl1 Cl 0.500 0.500 0.500
```

---

(12)
Cs2SnMoPd | SCAN | single point on PBEsol structure

Structure (CIF):
```
data_Cs2SnMoPd
_chemical_formula_sum 'Cs2 Sn1 Mo1 Pd1'
_symmetry_space_group_name_H-M 'P 1'
_symmetry_Int_Tables_number 1
_cell_length_a 6.772
_cell_length_b 6.772
_cell_length_c 4.652
_cell_angle_alpha 90.00
_cell_angle_beta 90.00
_cell_angle_gamma 90.00
loop_
_symmetry_equiv_pos_as_xyz
'x,y,z'
loop_
_atom_site_label
_atom_site_type_symbol
_atom_site_fract_x
_atom_site_fract_y
_atom_site_fract_z
Cs1 Cs 0.000 0.500 0.000
Cs2 Cs 0.500 0.000 0.000
Sn1 Sn 0.000 0.000 0.500
Mo1 Mo 0.500 0.500 0.000
Pd1 Pd 0.500 0.500 0.500
```

---

(13)
CaFe2Se | SCAN | single point on PBEsol structure

Structure (CIF):
```
data_CaFe2Se
_chemical_formula_sum 'Ca1 Fe2 Se1'
_symmetry_space_group_name_H-M 'P 1'
_symmetry_Int_Tables_number 1
_cell_length_a 5.596
_cell_length_b 5.596
_cell_length_c 5.596
_cell_angle_alpha 42.73
_cell_angle_beta 42.73
_cell_angle_gamma 42.73
loop_
_symmetry_equiv_pos_as_xyz
'x,y,z'
loop_
_atom_site_label
_atom_site_type_symbol
_atom_site_fract_x
_atom_site_fract_y
_atom_site_fract_z
Ca1 Ca 0.000 0.000 0.000
Fe1 Fe 0.183 0.183 0.183
Fe2 Fe 0.817 0.817 0.817
Se1 Se 0.500 0.500 0.500
```

---

(14)
FeRe4 | SCAN | single point on PBEsol structure

Structure (CIF):
```
data_FeRe4
_chemical_formula_sum 'Fe1 Re4'
_symmetry_space_group_name_H-M 'P 1'
_symmetry_Int_Tables_number 1
_cell_length_a 4.663
_cell_length_b 4.663
_cell_length_c 4.663
_cell_angle_alpha 99.66
_cell_angle_beta 99.66
_cell_angle_gamma 131.65
loop_
_symmetry_equiv_pos_as_xyz
'x,y,z'
loop_
_atom_site_label
_atom_site_type_symbol
_atom_site_fract_x
_atom_site_fract_y
_atom_site_fract_z
Fe1 Fe 0.000 0.000 0.000
Re1 Re 0.206 0.394 0.600
Re2 Re 0.394 0.794 0.188
Re3 Re 0.606 0.206 0.812
Re4 Re 0.794 0.606 0.400
```

---

(15)
BaCd4In | SCAN | single point on PBEsol structure

Structure (CIF):
```
data_BaCd4In
_chemical_formula_sum 'Ba1 Cd4 In1'
_symmetry_space_group_name_H-M 'P 1'
_symmetry_Int_Tables_number 1
_cell_length_a 6.049
_cell_length_b 6.049
_cell_length_c 6.049
_cell_angle_alpha 60.00
_cell_angle_beta 60.00
_cell_angle_gamma 60.00
loop_
_symmetry_equiv_pos_as_xyz
'x,y,z'
loop_
_atom_site_label
_atom_site_type_symbol
_atom_site_fract_x
_atom_site_fract_y
_atom_site_fract_z
Ba1 Ba 0.000 0.000 0.000
Cd1 Cd 0.126 0.625 0.625
Cd2 Cd 0.625 0.126 0.625
Cd3 Cd 0.625 0.625 0.126
Cd4 Cd 0.625 0.625 0.625
In1 In 0.250 0.250 0.250
```

---

(16)
SrInW3 | SCAN | single point on PBEsol structure

Structure (CIF):
```
data_SrInW3
_chemical_formula_sum 'Sr1 In1 W3'
_symmetry_space_group_name_H-M 'P 1'
_symmetry_Int_Tables_number 1
_cell_length_a 4.763
_cell_length_b 4.763
_cell_length_c 4.763
_cell_angle_alpha 90.00
_cell_angle_beta 90.00
_cell_angle_gamma 90.00
loop_
_symmetry_equiv_pos_as_xyz
'x,y,z'
loop_
_atom_site_label
_atom_site_type_symbol
_atom_site_fract_x
_atom_site_fract_y
_atom_site_fract_z
Sr1 Sr 0.000 0.000 0.000
In1 In 0.500 0.500 0.500
W1 W 0.000 0.000 0.500
W2 W 0.000 0.500 0.000
W3 W 0.500 0.000 0.000
```

---

(17)
Zr2TaMo | SCAN | single point on PBEsol structure

Structure (CIF):
```
data_Zr2TaMo
_chemical_formula_sum 'Zr2 Ta1 Mo1'
_symmetry_space_group_name_H-M 'P 1'
_symmetry_Int_Tables_number 1
_cell_length_a 3.259
_cell_length_b 3.259
_cell_length_c 7.165
_cell_angle_alpha 90.00
_cell_angle_beta 90.00
_cell_angle_gamma 90.00
loop_
_symmetry_equiv_pos_as_xyz
'x,y,z'
loop_
_atom_site_label
_atom_site_type_symbol
_atom_site_fract_x
_atom_site_fract_y
_atom_site_fract_z
Zr1 Zr 0.000 0.000 0.000
Zr2 Zr 0.500 0.500 0.293
Ta1 Ta 0.500 0.500 0.733
Mo1 Mo 0.000 0.000 0.532
```

---

(18)
Hf2ZrPd2 | SCAN | single point on PBEsol structure

Structure (CIF):
```
data_Hf2ZrPd2
_chemical_formula_sum 'Hf4 Zr2 Pd4'
_symmetry_space_group_name_H-M 'P 1'
_symmetry_Int_Tables_number 1
_cell_length_a 7.618
_cell_length_b 7.618
_cell_length_c 3.238
_cell_angle_alpha 90.00
_cell_angle_beta 90.00
_cell_angle_gamma 90.00
loop_
_symmetry_equiv_pos_as_xyz
'x,y,z'
loop_
_atom_site_label
_atom_site_type_symbol
_atom_site_fract_x
_atom_site_fract_y
_atom_site_fract_z
Hf1 Hf 0.169 0.331 0.000
Hf2 Hf 0.331 0.831 0.000
Hf3 Hf 0.669 0.169 0.000
Hf4 Hf 0.831 0.669 0.000
Zr1 Zr 0.000 0.000 0.500
Zr2 Zr 0.500 0.500 0.500
Pd1 Pd 0.128 0.628 0.500
Pd2 Pd 0.372 0.128 0.500
Pd3 Pd 0.628 0.872 0.500
Pd4 Pd 0.872 0.372 0.500
```

---

(19)
FeCoSn2B | SCAN | single point on PBEsol structure

Structure (CIF):
```
data_FeCoSn2B
_chemical_formula_sum 'Fe1 Co1 Sn2 B1'
_symmetry_space_group_name_H-M 'P 1'
_symmetry_Int_Tables_number 1
_cell_length_a 4.636
_cell_length_b 4.636
_cell_length_c 3.681
_cell_angle_alpha 90.00
_cell_angle_beta 90.00
_cell_angle_gamma 90.00
loop_
_symmetry_equiv_pos_as_xyz
'x,y,z'
loop_
_atom_site_label
_atom_site_type_symbol
_atom_site_fract_x
_atom_site_fract_y
_atom_site_fract_z
Fe1 Fe 0.000 0.000 0.000
Co1 Co 0.500 0.500 0.000
Sn1 Sn 0.000 0.500 0.500
Sn2 Sn 0.500 0.000 0.500
B1 B 0.500 0.500 0.500
```

---

(20)
LaMoAs2 | SCAN | single point on PBEsol structure

Structure (CIF):
```
data_LaMoAs2
_chemical_formula_sum 'La1 Mo1 As2'
_symmetry_space_group_name_H-M 'P 1'
_symmetry_Int_Tables_number 1
_cell_length_a 4.792
_cell_length_b 4.792
_cell_length_c 4.792
_cell_angle_alpha 60.00
_cell_angle_beta 60.00
_cell_angle_gamma 60.00
loop_
_symmetry_equiv_pos_as_xyz
'x,y,z'
loop_
_atom_site_label
_atom_site_type_symbol
_atom_site_fract_x
_atom_site_fract_y
_atom_site_fract_z
La1 La 0.000 0.000 0.000
Mo1 Mo 0.750 0.750 0.750
As1 As 0.250 0.250 0.250
As2 As 0.500 0.500 0.500
```

---

no.,total magnetization (μB/atom),DOS(E_F) (states/eV/atom),total energy (eV/cell)
1,0.0000,0.511,-84.52
2,0.0000,0.556,-159.89
3,0.2357,0.130,-381.25
4,0.0003,1.089,-218.23
5,0.0000,0.409,-86.36
6,0.0000,0.838,-181.61
7,0.0000,0.783,-166.93
8,0.0151,0.579,-75.91
9,0.5951,0.640,-91.74
10,0.0000,0.636,-105.77
11,0.0000,0.570,-28.39
12,1.0921,0.914,-173.43
13,0.9251,0.242,-66.31
14,0.3790,0.740,-302.12
15,0.0000,0.379,-195.66
16,0.0000,1.011,-245.97
17,0.0000,1.191,-162.93
18,0.0000,0.767,-449.30
19,0.7103,0.462,-110.62
20,0.4240,0.576,-117.56